A plane-wave DFT calculation with PBE-GGA was carried out for Er2LuS3 after structural relaxation.

Computed properties:
Raw total energy, eV/atom: -6.266
Density, Mg/m³: 8.38

a = 3.837 Å, b = 3.837 Å, c = 9.415 Å
α = 90.00°, β = 90.00°, γ = 120.00°
Element x y z (fractional)
1 Er 0.667 0.333 0.333
2 Er 0.333 0.667 0.667
3 Lu 0.000 0.000 0.000
4 S 0.333 0.667 0.163
5 S 0.000 0.000 0.500
6 S 0.667 0.333 0.837